Crystalline FePbO2 at its relaxed geometry, computed with PBE with a Hubbard U.

a b c (Å): 6.623 6.623 6.623
angles (deg): 32.69 32.69 32.69
Fractional positions:
Fe1 0.000 0.000 0.000
Pb1 0.500 0.500 0.500
O1 0.095 0.095 0.095
O2 0.905 0.905 0.905

Calculated total energy: -5.606 eV/atom
Size of the total moment: 4.0 μB/f.u.